[1]
VASP calculation (PBE) on an optimized crystal structure of Li3AcAg2.

Computed properties:
ΔH_f (0 K) (eV/atom): -0.174
Polymorph energy (0 for the lowest one) (meV per atom): 2.0
Density of states at the Fermi level (states/eV/atom): 0.509

Lattice parameters (Å, degrees): 16.077 4.375 8.601 90.00 115.73 90.00
Space group C2/m (No. 12)
Asymmetric unit:
Li: 0.051 0.000 0.389 x4
Li: 0.087 0.500 0.661 x4
Li: 0.190 0.500 0.470 x4
Ac: 0.145 0.000 0.047 x4
Ag: 0.027 0.500 0.182 x4
Ag: 0.197 0.000 0.705 x4

[2]
VASP calculation (PBE) on an optimized crystal structure of Li5AcAg2.

Computed properties:
ΔH_f (0 K) (eV/atom): -0.119
Density of states at the Fermi level (states/eV/atom): 0.467

Lattice parameters (Å, degrees): 4.193 8.246 10.364 90.00 90.00 90.00
Space group Immm (No. 71)
Asymmetric unit:
Li: 0.000 0.000 0.000 x2
Li: 0.000 0.317 0.342 x8
Ac: 0.000 0.500 0.000 x2
Ag: 0.000 0.000 0.257 x4

[3]
VASP calculation (PBE) on an optimized crystal structure of LiAc2Ag.

Computed properties:
ΔH_f (0 K) (eV/atom): 0.397
Polymorph energy (0 for the lowest one) (meV per atom): 490.0
Density of states at the Fermi level (states/eV/atom): 0.930

Lattice parameters (Å, degrees): 3.7541 3.7541 35.5160 90.00 90.00 120.00
Space group R-3m (No. 166, hexagonal axes)
Asymmetric unit:
Li: 0.0000 0.0000 0.0000 x3
Ac: 0.0000 0.0000 0.4123 x6
Ag: 0.0000 0.0000 0.5000 x3

[4]
VASP calculation (PBE) on an optimized crystal structure of Li2AcAg.

Computed properties:
ΔH_f (0 K) (eV/atom): -0.133
Polymorph energy (0 for the lowest one) (meV per atom): 0.0
Density of states at the Fermi level (states/eV/atom): 0.526

Lattice parameters (Å, degrees): 4.374 8.125 6.115 90.00 110.81 90.00
Space group P2_1/m (No. 11)
Asymmetric unit:
Li: 0.164 0.058 0.330 x4
Ac: 0.445 0.250 0.891 x2
Ag: 0.273 0.750 0.546 x2

[5]
VASP calculation (PBE) on an optimized crystal structure of Li2AcAg.

Computed properties:
ΔH_f (0 K) (eV/atom): 0.085
Polymorph energy (0 for the lowest one) (meV per atom): 218.2
Density of states at the Fermi level (states/eV/atom): 1.541

Lattice parameters (Å, degrees): 7.312 7.312 7.312 90.00 90.00 90.00
Space group Fm-3m (No. 225)
Asymmetric unit:
Li: 0.250 0.250 0.250 x8
Ac: 0.000 0.000 0.000 x4
Ag: 0.000 0.000 0.500 x4

[6]
VASP calculation (PBE) on an optimized crystal structure of Li4AcAg2.

Computed properties:
ΔH_f (0 K) (eV/atom): -0.160
Polymorph energy (0 for the lowest one) (meV per atom): 11.1
Density of states at the Fermi level (states/eV/atom): 0.489

Lattice parameters (Å, degrees): 4.282 17.393 4.262 90.00 90.00 90.00
Space group Cmmm (No. 65)
Asymmetric unit:
Li: 0.000 0.184 0.000 x4
Li: 0.000 0.313 0.500 x4
Ac: 0.000 0.500 0.000 x2
Ag: 0.000 0.085 0.500 x4

Calculated magnetization (μB per atom), listed in the same order as above: 0.000 0.000 0.000 0.000 0.004 0.000
Calculated VASP energy (Ry/atom), listed in the same order as above: -0.2033 -0.1868 -0.2094 -0.2080 -0.1920 -0.1952